# 1
Here is a geometry-optimized ZnPtOF2 structure from Alexandria. Energies are from PBE-GGA.

Lattice parameters (Å, degrees): 4.4156 4.4156 3.8249 90.00 90.00 90.00
Closest atoms and distances in Å follow each position.
Sites, in units of the cell vectors:
F (0.0000, 0.5000, 0.0000)  2 Pt 2.21
F (0.5000, 0.0000, 0.0000)  2 Pt 2.21
Pt (0.0000, 0.0000, 0.0000)  2 O 1.91
Zn (0.5000, 0.5000, 0.5000)  8 F 2.92, 4 O 3.12
O (0.0000, 0.0000, 0.5000)  2 Pt 1.91

## Properties
- energy relative to the elements, uncorrected (eV per atom) = -0.51
- space-group type = P4/mmm, No. 123
- calculated volume (A^3/atom) = 14.92



# 2
Here is a geometry-optimized In3IrO structure from Alexandria. Energies are from PBE-GGA.

Lattice parameters (Å, degrees): 5.1074 5.1074 5.1074 90.00 90.00 90.00
Closest atoms and distances in Å follow each position.
Sites, in units of the cell vectors:
In (0.0000, 0.0000, 0.5000)  2 Ir 2.55
In (0.5000, 0.0000, 0.0000)  2 Ir 2.55
In (0.0000, 0.5000, 0.0000)  2 Ir 2.55
Ir (0.0000, 0.0000, 0.0000)  6 In 2.55
O (0.5000, 0.5000, 0.5000)  12 In 3.61

## Properties
- energy relative to the elements, uncorrected (eV per atom) = 0.16
- space-group type = Pm-3m, No. 221
- calculated volume (A^3/atom) = 26.65



# 3
Here is a geometry-optimized PmTlPt5 structure from Alexandria. Energies are from PBE-GGA.

Lattice parameters (Å, degrees): 5.3523 8.9270 11.2871 90.00 90.00 90.00
Closest atoms and distances in Å follow each position.
Sites, in units of the cell vectors:
Pm (0.2500, 0.7468, 0.5711)  10 Pt 3.01-3.31
Pm (0.2500, 0.2468, 0.9289)  10 Pt 3.01-3.31
Pm (0.7500, 0.7532, 0.0711)  10 Pt 3.01-3.31
Pm (0.7500, 0.2532, 0.4289)  10 Pt 3.01-3.31
Pt (0.5040, 0.9336, 0.2988)  7 Pt 2.63-2.84
Pt (0.7500, 0.5308, 0.5891)  1 Tl 2.71, 4 Pt 2.75-2.93
Pt (0.0040, 0.0664, 0.7012)  7 Pt 2.63-2.84
Pt (0.2500, 0.1926, 0.2716)  7 Pt 2.67-2.93
Pt (0.9960, 0.9336, 0.2988)  7 Pt 2.63-2.84
Pt (0.2500, 0.6926, 0.2284)  7 Pt 2.67-2.93
Pt (0.7500, 0.9314, 0.5081)  7 Pt 2.70-2.95, 1 Tl 2.99, 1 Pm 3.01
Pt (0.7500, 0.0308, 0.9109)  1 Tl 2.71, 4 Pt 2.75-2.93
Pt (0.4960, 0.0664, 0.7012)  7 Pt 2.63-2.84
Pt (0.7500, 0.3074, 0.7716)  7 Pt 2.67-2.93
Pt (0.2500, 0.5686, 0.0081)  7 Pt 2.70-2.95, 1 Tl 2.99, 1 Pm 3.01
Pt (0.7500, 0.4314, 0.9919)  7 Pt 2.70-2.95, 1 Tl 2.99, 1 Pm 3.01
Pt (0.7500, 0.8074, 0.7284)  7 Pt 2.67-2.93
Pt (0.5040, 0.4336, 0.2012)  7 Pt 2.63-2.84
Pt (0.4960, 0.5664, 0.7988)  7 Pt 2.63-2.84
Pt (0.0040, 0.5664, 0.7988)  7 Pt 2.63-2.84
Pt (0.9960, 0.4336, 0.2012)  7 Pt 2.63-2.84
Pt (0.2500, 0.4692, 0.4109)  1 Tl 2.71, 4 Pt 2.75-2.93
Pt (0.2500, 0.9692, 0.0891)  1 Tl 2.71, 4 Pt 2.75-2.93
Pt (0.2500, 0.0686, 0.4919)  7 Pt 2.70-2.95, 1 Tl 2.99, 1 Pm 3.01
Tl (0.7500, 0.1477, 0.1323)  6 Pt 2.71-2.99
Tl (0.2500, 0.3523, 0.6323)  6 Pt 2.71-2.99
Tl (0.7500, 0.6477, 0.3677)  6 Pt 2.71-2.99
Tl (0.2500, 0.8523, 0.8677)  6 Pt 2.71-2.99

## Properties
- space-group type = Pnma, No. 62
- calculated volume (A^3/atom) = 19.26



# 4
Here is a geometry-optimized Mg2FeTe structure from Alexandria. Energies are from PBE-GGA.

Lattice parameters (Å, degrees): 9.8778 9.8778 7.3637 47.88 47.88 90.00
Closest atoms and distances in Å follow each position.
Sites, in units of the cell vectors:
Te (0.0000, 0.0000, 0.0000)  2 Fe 2.33
Te (0.7500, 0.2500, 0.5000)  2 Fe 2.33
Mg (0.3750, 0.6232, 0.7500)  2 Fe 2.54
Mg (0.3732, 0.6250, 0.2500)  2 Fe 2.54
Mg (0.3768, 0.1250, 0.2500)  2 Fe 2.54
Mg (0.8750, 0.6268, 0.7500)  2 Fe 2.54
Fe (0.5000, 0.5000, 0.0000)  2 Te 2.33, 4 Mg 2.54
Fe (0.2500, 0.7500, 0.5000)  2 Te 2.33, 4 Mg 2.54

## Properties
- energy relative to the elements, uncorrected (eV per atom) = 0.25
- space-group type = I-42d, No. 122
- calculated volume (A^3/atom) = 28.44



# 5
Here is a geometry-optimized PmH6Rh2 structure from Alexandria. Energies are from PBE-GGA.

Lattice parameters (Å, degrees): 4.0265 4.0265 5.9122 71.16 71.16 90.01
Closest atoms and distances in Å follow each position.
Sites, in units of the cell vectors:
H (0.6182, 0.5895, 0.8144)  1 Rh 1.65
H (0.9105, 0.8818, 0.1856)  1 Rh 1.65
H (0.7302, 0.2302, 0.4997)  4 Rh 1.95-2.08
H (0.0895, 0.1182, 0.8144)  1 Rh 1.65
H (0.3818, 0.4105, 0.1856)  1 Rh 1.65
H (0.2698, 0.7698, 0.5003)  4 Rh 1.95-2.08
Rh (0.7541, 0.7459, 0.5000)  2 H 1.65
Rh (0.2459, 0.2541, 0.5000)  2 H 1.65
Pm (0.5000, 0.0000, 0.0000)  8 H 2.24-2.25

## Properties
- space-group type = C2/m, No. 12
- calculated volume (A^3/atom) = 9.47



# 6
Here is a geometry-optimized PuSi2Pd5 structure from Alexandria. Energies are from PBE-GGA.

Lattice parameters (Å, degrees): 3.8880 6.3376 6.3376 68.08 72.14 72.14
Closest atoms and distances in Å follow each position.
Sites, in units of the cell vectors:
Pd (0.6508, 0.1530, 0.5455)  3 Si 2.38-2.57
Pd (0.6508, 0.5455, 0.1530)  3 Si 2.38-2.57
Pd (0.3492, 0.4545, 0.8470)  3 Si 2.38-2.57
Pd (0.0000, 0.5000, 0.5000)  2 Si 2.40
Pd (0.3492, 0.8470, 0.4545)  3 Si 2.38-2.57
Pu (0.0000, 0.0000, 0.0000)  4 Si 3.15, 8 Pd 3.25
Si (0.2464, 0.2536, 0.2536)  7 Pd 2.38-2.57
Si (0.7536, 0.7464, 0.7464)  7 Pd 2.38-2.57

## Properties
- energy relative to the elements, uncorrected (eV per atom) = -0.66
- space-group type = Immm, No. 71
- calculated volume (A^3/atom) = 16.82



| no. | uncorrected energy (eV per atom) |
| --- | --- |
| 1 | -3.7089 |
| 2 | -4.2450 |
| 3 | -5.8638 |
| 4 | -3.4464 |
| 5 | -4.7130 |
| 6 | -7.0490 |